Record 1
A plane-wave DFT calculation with PBE-GGA was carried out for K2MoW after structural relaxation.

E = -5.4754 eV per atom
Space-group type = Immm, No. 71
Spin magnetization = 0.03 μB per atom

Unit cell a=10.950 b=10.950 c=10.950 alpha=163.41 beta=158.86 gamma=26.99
Site moments in Bohr magnetons follow the coordinates.
Sites, in units of the cell vectors:
K (0.901, 0.901, 0.000)  0.00
K (0.599, 0.599, 0.000)  0.00
Mo (0.750, 0.250, 0.500)  0.35
W (0.250, 0.750, 0.500)  -0.27



Record 2
A plane-wave DFT calculation with PBE-GGA was carried out for KMoW after structural relaxation.

E = -7.3167 eV per atom
Space-group type = Fmm2, No. 42
Spin magnetization = 0.00 μB per atom

Unit cell a=8.596 b=8.400 c=2.897 alpha=84.04 beta=76.38 gamma=19.58
Sites, in units of the cell vectors:
K (0.000, 0.000, 0.000)
Mo (0.310, 0.310, 0.690)
W (0.690, 0.690, 0.310)



Record 3
A plane-wave DFT calculation with PBE-GGA was carried out for KMoW2 after structural relaxation.

E = -8.3707 eV per atom
Space-group type = P4/mmm, No. 123
Spin magnetization = 0.00 μB per atom

Unit cell a=3.075 b=3.075 c=9.375 alpha=90.00 beta=90.00 gamma=90.00
Sites, in units of the cell vectors:
K (0.500, 0.500, 0.250)
Mo (0.500, 0.500, 0.750)
W (0.000, 0.000, 0.916)
W (0.000, 0.000, 0.584)



Record 4
A plane-wave DFT calculation with PBE-GGA was carried out for K2MoW after structural relaxation.

E = -5.5836 eV per atom
Space-group type = P4mm, No. 99
Spin magnetization = 0.00 μB per atom

Unit cell a=3.367 b=3.367 c=10.962 alpha=90.00 beta=90.00 gamma=90.00
Sites, in units of the cell vectors:
K (0.000, 0.000, 0.928)
K (0.500, 0.500, 0.322)
Mo (0.000, 0.000, 0.579)
W (0.500, 0.500, 0.671)



Record 5
A plane-wave DFT calculation with PBE-GGA was carried out for KMoW after structural relaxation.

E = -7.2303 eV per atom
Space-group type = I4mm, No. 107
Spin magnetization = 0.00 μB per atom

Unit cell a=7.515 b=7.515 c=7.515 alpha=155.03 beta=155.03 gamma=35.61
Sites, in units of the cell vectors:
K (0.000, 0.000, 0.000)
Mo (0.289, 0.289, 0.000)
W (0.710, 0.710, 0.000)



Record 6
A plane-wave DFT calculation with PBE-GGA was carried out for K2MoW after structural relaxation.

E = -4.8682 eV per atom
Space-group type = P4/mmm, No. 123
Spin magnetization = 0.00 μB per atom

Unit cell a=6.196 b=3.832 c=3.832 alpha=90.00 beta=90.00 gamma=90.00
Sites, in units of the cell vectors:
K (0.000, 0.000, 0.000)
K (0.000, 0.500, 0.500)
Mo (0.500, 0.500, 0.000)
W (0.500, 0.000, 0.500)



Record 7
A plane-wave DFT calculation with PBE-GGA was carried out for KMoW2 after structural relaxation.

E = -8.4617 eV per atom
Space-group type = P2/m, No. 10
Spin magnetization = 0.00 μB per atom

Unit cell a=4.359 b=2.799 c=7.794 alpha=85.09 beta=90.00 gamma=90.00
Sites, in units of the cell vectors:
K (0.500, 0.250, 0.250)
Mo (0.500, 0.750, 0.750)
W (0.000, 0.077, 0.897)
W (0.000, 0.423, 0.603)



Record 8
A plane-wave DFT calculation with PBE-GGA was carried out for KMoW after structural relaxation.

E = -6.0819 eV per atom
Space-group type = F-43m, No. 216
Spin magnetization = 0.00 μB per atom

Unit cell a=4.558 b=4.558 c=4.558 alpha=60.00 beta=60.00 gamma=60.00
Sites, in units of the cell vectors:
K (0.500, 0.500, 0.500)
Mo (0.750, 0.750, 0.750)
W (0.000, 0.000, 0.000)



One value per record, in order, for polymorph energy (0 for the lowest one): 42; 0; 118; 0; 25; 276; 83; 357 kJ/mol of formula units.